1.
Below is a relaxed Zr5Rh4 crystal, with properties calculated at the PBE-GGA level.

The structure belongs to space group I4/mmm (No. 139); the cell edges are 8.422, 8.422 and 4.698 Å and the angles 90.00°, 90.00° and 90.00°. The asymmetric unit holds Zr at (0.000, 0.000, 0.000), Zr at (0.180, 0.180, 0.500) and Rh at (0.000, 0.336, 0.000).

As for the energy above the most stable polymorph in this dataset: 22.6 kJ per mole of atoms. Its mass density is 8.648 Mg/m³. For the spin magnetization, the calculation gives 0.000 μB per formula unit. The formation energy comes out at -0.392 eV per atom.

=====

2.
Below is a relaxed Zr4Rh crystal, with properties calculated at the PBE-GGA level.

The structure belongs to space group Cc (No. 9); the cell edges are 5.763, 14.203 and 5.742 Å and the angles 90.00°, 116.05° and 90.00°. The asymmetric unit holds Zr at (0.000, 0.048, 0.000), Zr at (0.016, 0.443, 0.954), Zr at (0.302, 0.251, 0.278), Zr at (0.346, 0.157, 0.822) and Rh at (0.392, 0.356, 0.857).

As for the energy above the most stable polymorph in this dataset: 7.1 kJ per mole of atoms. Its mass density is 7.359 Mg/m³. For the spin magnetization, the calculation gives 0.000 μB per formula unit. The formation energy comes out at -0.255 eV per atom.

=====

3.
Below is a relaxed Zr6Rh7 crystal, with properties calculated at the PBE-GGA level.

The structure belongs to space group R-3m (No. 166, hexagonal axes); the cell edges are 5.3576, 5.3576 and 27.8796 Å and the angles 90.00°, 90.00° and 120.00°. The asymmetric unit holds Zr at (0.0000, 0.0000, 0.0523), Zr at (0.0000, 0.0000, 0.1596), Zr at (0.0000, 0.0000, 0.3343), Rh at (0.0000, 0.0000, 0.5000) and Rh at (0.0026, 0.5013, 0.0884).

Its mass density is 9.112 Mg/m³. For the spin magnetization, the calculation gives 0.000 μB per formula unit. The formation energy comes out at -0.618 eV per atom.

=====

4.
Below is a relaxed Zr3Rh crystal, with properties calculated at the PBE-GGA level.

The structure belongs to space group P-6m2 (No. 187); the cell edges are 3.2461, 3.2461 and 9.2519 Å and the angles 90.00°, 90.00° and 120.00°. The asymmetric unit holds Zr at (0.0000, 0.0000, 0.0000), Zr at (0.3333, 0.6667, 0.2787) and Rh at (0.0000, 0.0000, 0.5000).

Its mass density is 7.407 Mg/m³. For the spin magnetization, the calculation gives 0.000 μB per formula unit. The formation energy comes out at -0.195 eV per atom.

=====

5.
Below is a relaxed Zr5Rh6 crystal, with properties calculated at the PBE-GGA level.

The structure belongs to space group C2/m (No. 12); the cell edges are 13.968, 7.012 and 4.422 Å and the angles 90.00°, 108.15° and 90.00°. The asymmetric unit holds Zr at (0.000, 0.000, 0.000), Zr at (0.139, 0.500, 0.642), Zr at (0.178, 0.000, 0.677), Rh at (0.000, 0.224, 0.500) and Rh at (0.170, 0.236, 0.170).

Its mass density is 8.663 Mg/m³. For the spin magnetization, the calculation gives 0.000 μB per formula unit. The formation energy comes out at -0.655 eV per atom.

=====

6.
Below is a relaxed ZrRh5 crystal, with properties calculated at the PBE-GGA level.

The structure belongs to space group Amm2 (No. 38); the cell edges are 4.440, 2.875 and 14.360 Å and the angles 90.00°, 90.00° and 90.00°. The asymmetric unit holds Zr at (0.000, 0.000, 0.000), Rh at (0.000, 0.000, 0.335), Rh at (0.000, 0.000, 0.670), Rh at (0.500, 0.000, 0.217), Rh at (0.500, 0.000, 0.553) and Rh at (0.500, 0.000, 0.881).

Its mass density is 10.974 Mg/m³. For the spin magnetization, the calculation gives 0.000 μB per formula unit. The formation energy comes out at -0.278 eV per atom.

=====

7.
Below is a relaxed Zr2Rh3 crystal, with properties calculated at the PBE-GGA level.

The structure belongs to space group Ibam (No. 72); the cell edges are 5.938, 11.516 and 5.326 Å and the angles 90.00°, 90.00° and 90.00°. The asymmetric unit holds Zr at (0.216, 0.169, 0.000), Rh at (0.000, 0.000, 0.250) and Rh at (0.153, 0.396, 0.000).

As for the energy above the most stable polymorph in this dataset: 14.5 kJ per mole of atoms. Its mass density is 8.958 Mg/m³. For the spin magnetization, the calculation gives 0.000 μB per formula unit. The formation energy comes out at -0.562 eV per atom.

=====

8.
Below is a relaxed Zr3Rh5 crystal, with properties calculated at the PBE-GGA level.

The structure belongs to space group Cmmm (No. 65); the cell edges are 7.272, 8.583 and 4.314 Å and the angles 90.00°, 90.00° and 90.00°. The asymmetric unit holds Zr at (0.000, 0.000, 0.000), Zr at (0.000, 0.293, 0.500), Rh at (0.000, 0.500, 0.000), Rh at (0.215, 0.000, 0.500) and Rh at (0.250, 0.250, 0.000).

Its mass density is 9.721 Mg/m³. For the spin magnetization, the calculation gives 0.000 μB per formula unit. The formation energy comes out at -0.797 eV per atom.